VASP calculation (PBE-GGA) on a relaxed structure of NaTa2Os.

Results
- spin magnetization (μB/f.u.) = 0.0
- density (kg/m³) = 14038
- relative energy among the computed polymorphs (meV per atom) = 0.0
- space group = Fm-3m
- energy of formation from the pure elements (eV per atom) = 0.476

Unit cell a=4.5821 b=4.5821 c=4.5821 alpha=60.00 beta=60.00 gamma=60.00
Closest atoms and distances in Å follow each position.
Fractional coordinates of all 4 atoms:
Na 0.0000 0.0000 0.0000  8 Ta 2.81
Ta 0.2500 0.2500 0.2500  4 Os 2.81, 4 Na 2.81
Ta 0.7500 0.7500 0.7500  4 Os 2.81, 4 Na 2.81
Os 0.5000 0.5000 0.5000  8 Ta 2.81

VASP calculation (PBE-GGA) on a relaxed structure of NaTa2Os.

Results
- spin magnetization (μB/f.u.) = 0.0
- density (kg/m³) = 11812
- relative energy among the computed polymorphs (meV per atom) = 396.7
- space group = I-42d
- energy of formation from the pure elements (eV per atom) = 0.872

Unit cell a=6.0448 b=6.0448 c=6.0448 alpha=102.74 beta=102.74 gamma=123.98
Closest atoms and distances in Å follow each position.
Fractional coordinates of all 8 atoms:
Na 0.0000 0.0000 0.0000  2 Os 2.84, 4 Ta 3.04
Na 0.7500 0.2500 0.5000  2 Os 2.84, 4 Ta 3.04
Ta 0.1759 0.6250 0.0509  2 Os 2.51
Ta 0.3750 0.4259 0.5509  2 Os 2.51
Ta 0.5741 0.1250 0.9491  2 Os 2.51
Ta 0.8750 0.8241 0.4491  2 Os 2.51
Os 0.2500 0.7500 0.5000  4 Ta 2.51
Os 0.5000 0.5000 0.0000  4 Ta 2.51

VASP calculation (PBE-GGA) on a relaxed structure of Na2TaOs.

Results
- spin magnetization (μB/f.u.) = 0.0
- density (kg/m³) = 9713
- relative energy among the computed polymorphs (meV per atom) = 242.5
- space group = Fm-3m
- energy of formation from the pure elements (eV per atom) = 1.720

Unit cell a=4.6548 b=4.6548 c=4.6548 alpha=60.00 beta=60.00 gamma=60.00
Closest atoms and distances in Å follow each position.
Fractional coordinates of all 4 atoms:
Na 0.2500 0.2500 0.2500  4 Ta 2.85, 4 Os 2.85
Na 0.7500 0.7500 0.7500  4 Ta 2.85, 4 Os 2.85
Ta 0.0000 0.0000 0.0000  8 Na 2.85
Os 0.5000 0.5000 0.5000  8 Na 2.85

VASP calculation (PBE-GGA) on a relaxed structure of NaTa3Os.

Results
- spin magnetization (μB/f.u.) = 0.0
- density (kg/m³) = 10517
- relative energy among the computed polymorphs (meV per atom) = 0.0
- space group = Pm-3m
- energy of formation from the pure elements (eV per atom) = 1.175

Unit cell a=4.9239 b=4.9239 c=4.9239 alpha=90.00 beta=90.00 gamma=90.00
Closest atoms and distances in Å follow each position.
Fractional coordinates of all 5 atoms:
Na 0.0000 0.0000 0.0000  12 Ta 3.48
Ta 0.0000 0.5000 0.5000  2 Os 2.46
Ta 0.5000 0.0000 0.5000  2 Os 2.46
Ta 0.5000 0.5000 0.0000  2 Os 2.46
Os 0.5000 0.5000 0.5000  6 Ta 2.46

VASP calculation (PBE-GGA) on a relaxed structure of NaTa3Os.

Results
- spin magnetization (μB/f.u.) = 0.0
- density (kg/m³) = 13371
- relative energy among the computed polymorphs (meV per atom) = 1369.5
- space group = Pm-3m
- energy of formation from the pure elements (eV per atom) = 2.544

Unit cell a=4.5451 b=4.5451 c=4.5451 alpha=90.00 beta=90.00 gamma=90.00
Closest atoms and distances in Å follow each position.
Fractional coordinates of all 5 atoms:
Na 0.0000 0.0000 0.0000  6 Ta 2.27
Ta 0.0000 0.0000 0.5000  2 Na 2.27
Ta 0.0000 0.5000 0.0000  2 Na 2.27
Ta 0.5000 0.0000 0.0000  2 Na 2.27
Os 0.5000 0.5000 0.5000  12 Ta 3.21

VASP calculation (PBE-GGA) on a relaxed structure of NaTaOs3.

Results
- spin magnetization (μB/f.u.) = 2.5
- density (kg/m³) = 11403
- relative energy among the computed polymorphs (meV per atom) = 0.0
- space group = Pm-3m
- energy of formation from the pure elements (eV per atom) = 1.974

Unit cell a=4.8317 b=4.8317 c=4.8317 alpha=90.00 beta=90.00 gamma=90.00
Closest atoms and distances in Å follow each position.
Fractional coordinates of all 5 atoms:
Na 0.0000 0.0000 0.0000  12 Os 3.42
Ta 0.5000 0.5000 0.5000  6 Os 2.42
Os 0.0000 0.5000 0.5000  2 Ta 2.42
Os 0.5000 0.0000 0.5000  2 Ta 2.42
Os 0.5000 0.5000 0.0000  2 Ta 2.42

VASP calculation (PBE-GGA) on a relaxed structure of NaTaTi2Os.

Results
- spin magnetization (μB/f.u.) = 0.7
- density (kg/m³) = 9069
- space group = P4/mmm
- energy of formation from the pure elements (eV per atom) = 2.045

Unit cell a=4.2996 b=4.2996 c=4.8525 alpha=90.00 beta=90.00 gamma=90.00
Closest atoms and distances in Å follow each position.
Fractional coordinates of all 5 atoms:
Na 0.0000 0.0000 0.0000  4 Ti 2.15
Ta 0.0000 0.0000 0.5000  2 Na 2.43
Ti 0.0000 0.5000 0.0000  2 Na 2.15
Ti 0.5000 0.0000 0.0000  2 Na 2.15
Os 0.5000 0.5000 0.5000  4 Ta 3.04, 8 Ti 3.24

VASP calculation (PBE-GGA) on a relaxed structure of NaTa2TlOs.

Results
- spin magnetization (μB/f.u.) = 0.9
- density (kg/m³) = 10653
- space group = P4/mmm
- energy of formation from the pure elements (eV per atom) = 2.469

Unit cell a=5.1191 b=5.1191 c=4.6367 alpha=90.00 beta=90.00 gamma=90.00
Closest atoms and distances in Å follow each position.
Fractional coordinates of all 5 atoms:
Na 0.0000 0.0000 0.0000  2 Tl 2.32
Ta 0.0000 0.5000 0.5000  2 Tl 2.56
Ta 0.5000 0.0000 0.5000  2 Tl 2.56
Tl 0.0000 0.0000 0.5000  2 Na 2.32, 4 Ta 2.56
Os 0.5000 0.5000 0.0000  8 Ta 3.45, 4 Na 3.62

VASP calculation (PBE-GGA) on a relaxed structure of NaTa2OsW.

Results
- spin magnetization (μB/f.u.) = 1.4
- density (kg/m³) = 11335
- space group = P4/mmm
- energy of formation from the pure elements (eV per atom) = 2.292

Unit cell a=4.7907 b=4.7907 c=4.8445 alpha=90.00 beta=90.00 gamma=90.00
Closest atoms and distances in Å follow each position.
Fractional coordinates of all 5 atoms:
Na 0.0000 0.0000 0.0000  2 W 2.42
Ta 0.0000 0.5000 0.5000  2 W 2.40
Ta 0.5000 0.0000 0.5000  2 W 2.40
Os 0.5000 0.5000 0.0000  4 Na 3.39, 8 Ta 3.41
W 0.0000 0.0000 0.5000  4 Ta 2.40, 2 Na 2.42

VASP calculation (PBE-GGA) on a relaxed structure of NaTb2Os.

Results
- spin magnetization (μB/f.u.) = 0.0
- density (kg/m³) = 7910
- space group = P4/mmm
- energy of formation from the pure elements (eV per atom) = -0.124

Unit cell a=3.4105 b=3.4105 c=9.5852 alpha=90.00 beta=90.00 gamma=90.00
Closest atoms and distances in Å follow each position.
Fractional coordinates of all 4 atoms:
Na 0.0000 0.0000 0.0000  4 Na 3.41
Tb 0.5000 0.5000 0.3267  4 Os 2.93
Tb 0.5000 0.5000 0.6733  4 Os 2.93
Os 0.0000 0.0000 0.5000  8 Tb 2.93

VASP calculation (PBE-GGA) on a relaxed structure of NaTb2Os.

Results
- spin magnetization (μB/f.u.) = 0.0
- density (kg/m³) = 6091
- space group = R-3m
- energy of formation from the pure elements (eV per atom) = 0.128

Unit cell a=10.6208 b=10.6208 c=10.6208 alpha=21.80 beta=21.80 gamma=21.80
Closest atoms and distances in Å follow each position.
Fractional coordinates of all 4 atoms:
Na 0.0000 0.0000 0.0000  2 Tb 3.72, 6 Na 4.02
Tb 0.1195 0.1195 0.1195  3 Os 2.74
Tb 0.8805 0.8805 0.8805  3 Os 2.74
Os 0.5000 0.5000 0.5000  6 Tb 2.74

VASP calculation (PBE-GGA) on a relaxed structure of NaTb3Os.

Results
- spin magnetization (μB/f.u.) = 0.0
- density (kg/m³) = 6934
- space group = Pm-3m
- energy of formation from the pure elements (eV per atom) = 0.021

Unit cell a=5.4875 b=5.4875 c=5.4875 alpha=90.00 beta=90.00 gamma=90.00
Closest atoms and distances in Å follow each position.
Fractional coordinates of all 5 atoms:
Na 0.0000 0.0000 0.0000  12 Tb 3.88
Tb 0.0000 0.5000 0.5000  2 Os 2.74
Tb 0.5000 0.0000 0.5000  2 Os 2.74
Tb 0.5000 0.5000 0.0000  2 Os 2.74
Os 0.5000 0.5000 0.5000  6 Tb 2.74

> Which value of spin magnetization does entry 9 give?

1.4 μB/f.u.

> Look up the density of the ninth one.

11335 kg/m³

> Look up the spin magnetization of the fourth one.

0.0 μB/f.u.